1.
SCAN CaNbCu2Pt, single point on PBEsol structure; DFT total energy = -28.321 eV per atom; energy of formation from the pure elements = 356 meV per atom; space-group type = P4/mmm, No. 123; ρ = 6.9 g/cm³
1.0
4.7784 0.0000 0.0000
0.0000 4.7784 0.0000
0.0000 0.0000 4.7906
Ca Nb Cu Pt
1 1 2 1
Cartesian
0.0000 0.0000 0.0000
2.3892 2.3892 0.0000
0.0000 2.3892 2.3953
2.3892 0.0000 2.3953
2.3892 2.3892 2.3953


2.
SCAN Li5Sb, single point on PBEsol structure; DFT total energy = -8.575 eV per atom; ΔE_f (raw) = -2.24 eV per formula unit; relative energy among the computed polymorphs = 0.062 eV per atom; space-group type = P-62m, No. 189; ρ = 2.4 g/cm³
1.0
5.1607 0.0000 0.0000
-2.5804 4.4693 0.0000
0.0000 0.0000 4.6951
Li Sb
5 1
Cartesian
-0.7817 1.3539 0.0000
1.5634 0.0000 0.0000
0.0000 2.9795 2.3476
2.5804 1.4898 2.3476
1.7987 3.1154 0.0000
0.0000 0.0000 2.3476


3.
SCAN CsNa2Si17, single point on PBEsol structure; DFT total energy = -10.865 eV per atom; ΔE_f (raw) = -0.79 eV per formula unit; space-group type = Fd-3m, No. 227; ρ = 2.7 g/cm³
1.0
0.0000 7.3659 7.3659
7.3659 0.0000 7.3659
7.3659 7.3659 0.0000
Cs Na Si
2 4 34
Cartesian
1.8415 1.8415 1.8415
12.8904 12.8904 12.8904
7.3659 3.6830 3.6830
3.6830 7.3659 3.6830
3.6830 3.6830 7.3659
7.3659 7.3659 7.3659
4.6810 4.6810 1.9107
6.3679 6.3679 1.9107
4.6810 1.9107 4.6810
9.1382 6.3679 4.6810
6.3679 1.9107 6.3679
9.1382 4.6810 6.3679
10.0509 8.3640 5.5937
10.0509 5.5937 8.3640
12.8212 8.3640 8.3640
4.1635 4.1635 4.1635
6.8854 6.8854 4.1635
6.8854 4.1635 6.8854
10.5684 7.8465 7.8465
5.5245 5.5245 5.5245
8.3640 10.0509 5.5937
8.3640 5.5937 10.0509
12.8212 10.0509 10.0509
1.9107 4.6810 4.6810
6.3679 9.1382 4.6810
6.3679 4.6810 9.1382
9.2074 9.2074 9.2074
4.1635 6.8854 6.8854
7.8465 10.5684 7.8465
7.8465 7.8465 10.5684
10.5684 10.5684 10.5684
1.9107 6.3679 6.3679
4.6810 9.1382 6.3679
4.6810 6.3679 9.1382
5.5937 10.0509 8.3640
8.3640 12.8212 8.3640
5.5937 8.3640 10.0509
10.0509 12.8212 10.0509
8.3640 8.3640 12.8212
10.0509 10.0509 12.8212


Q: Which formula does entry 3 have?
A: CsNa2Si17


Q: Number 1 is which compound?
A: CaNbCu2Pt